No. 1
## AlAsOs2 (PBE-GGA)

Data for a relaxed structure of AlAsOs2.

Summary:
**Total magnetic moment**: 0.00 μB/atom
**Volume**: 58.3 Å³ per cell
**Offset from the most stable computed form**: 377.0 meV/atom

abc: 4.918 4.918 4.918
angles: 135.16 135.16 65.28
Fractional positions:
Al: 0.000 0.000 0.000
As: 0.250 0.750 0.500
Os: 0.500 0.500 0.000
Os: 0.750 0.250 0.500



No. 2
## Ta2TcOs (PBE-GGA)

Data for a relaxed structure of Ta2TcOs.

Summary:
**Total magnetic moment**: 0.00 μB/atom
**Raw total energy**: -11.58 eV per atom
**Volume**: 65.1 Å³ per cell

abc: 5.348 5.348 5.348
angles: 145.32 130.94 61.47
Fractional positions:
Ta: 0.000 0.000 0.000
Ta: 0.746 0.246 0.500
Tc: 0.240 0.740 0.500
Os: 0.503 0.503 0.000



No. 3
## ZrNpZnO6 (PBE-GGA)

Data for a relaxed structure of ZrNpZnO6.

Summary:
**Energy relative to the elements, uncorrected**: -2567.0 meV per atom
**Total magnetic moment**: 0.11 μB/atom
**Volume**: 231.3 Å³ per cell

abc: 5.297 5.297 9.519
angles: 90.00 90.00 120.00
Fractional positions:
Zr: 0.000 0.000 0.000
Zr: 0.000 0.000 0.500
Np: 0.333 0.667 0.250
Np: 0.667 0.333 0.750
Zn: 0.333 0.667 0.750
Zn: 0.667 0.333 0.250
O: 0.009 0.336 0.129
O: 0.009 0.674 0.371
O: 0.326 0.336 0.371
O: 0.326 0.991 0.129
O: 0.336 0.009 0.629
O: 0.336 0.326 0.871
O: 0.664 0.674 0.129
O: 0.664 0.991 0.371
O: 0.674 0.009 0.871
O: 0.674 0.664 0.629
O: 0.991 0.326 0.629
O: 0.991 0.664 0.871



No. 4
## Pm5TmTl (PBE-GGA)

Data for a relaxed structure of Pm5TmTl.

Summary:
**Total magnetic moment**: 0.00 μB/atom
**Raw total energy**: -4.20 eV per atom
**Volume**: 240.8 Å³ per cell

abc: 4.815 4.815 10.382
angles: 90.00 90.00 90.00
Fractional positions:
Pm: 0.000 0.000 0.000
Pm: 0.000 0.500 0.246
Pm: 0.000 0.500 0.754
Pm: 0.500 0.000 0.246
Pm: 0.500 0.000 0.754
Tm: 0.500 0.500 0.500
Tl: 0.500 0.500 0.000



No. 5
## Sr2FeMo (PBE-GGA)

Data for a relaxed structure of Sr2FeMo.

Summary:
**Total magnetic moment**: 0.56 μB/atom
**Volume**: 97.7 Å³ per cell
**Offset from the most stable computed form**: 721.9 meV/atom

abc: 10.618 10.618 10.618
angles: 17.81 17.81 17.81
Fractional positions:
Sr: 0.249 0.249 0.249
Sr: 0.751 0.751 0.751
Fe: 0.500 0.500 0.500
Mo: 0.000 0.000 0.000



No. 6
## Ho5Mg3 (PBE-GGA)

Data for a relaxed structure of Ho5Mg3.

Summary:
**Total magnetic moment**: 0.00 μB/atom
**Raw total energy**: -3.50 eV per atom
**Volume**: 224.3 Å³ per cell

abc: 3.699 3.699 16.391
angles: 90.00 90.00 90.00
Fractional positions:
Ho: 0.000 0.000 0.000
Ho: 0.000 0.000 0.238
Ho: 0.000 0.000 0.762
Ho: 0.500 0.500 0.381
Ho: 0.500 0.500 0.619
Mg: 0.000 0.000 0.500
Mg: 0.500 0.500 0.118
Mg: 0.500 0.500 0.882



No. 7
## LaNdNO (PBE-GGA)

Data for a relaxed structure of LaNdNO.

Summary:
**Energy relative to the elements, uncorrected**: -2146.3 meV per atom
**Total magnetic moment**: 0.00 μB/atom
**Volume**: 68.8 Å³ per cell

abc: 3.654 3.654 5.153
angles: 90.00 90.00 90.00
Fractional positions:
La: 0.000 0.000 0.000
Nd: 0.500 0.500 0.500
N: 0.000 0.000 0.500
O: 0.500 0.500 0.000



No. 8
## AcZrAs2 (PBE-GGA)

Data for a relaxed structure of AcZrAs2.

Summary:
**Total magnetic moment**: 0.00 μB/atom
**Volume**: 103.6 Å³ per cell
**Offset from the most stable computed form**: 0.0 meV/atom

abc: 7.386 7.386 7.386
angles: 32.52 32.52 32.52
Fractional positions:
Ac: 0.000 0.000 0.000
Zr: 0.500 0.500 0.500
As: 0.237 0.237 0.237
As: 0.763 0.763 0.763